# 1
DFT (meta-GGA SCAN) results for a crystal of GaTeP3 relaxed with PBEsol.

It has space group Pm-3m (No. 221), with a = 4.633 Å, b = 4.633 Å, c = 4.633 Å, α = 90.00°, β = 90.00° and γ = 90.00°. The asymmetric unit holds Ga at (0.000, 0.000, 0.000), Te at (0.500, 0.500, 0.500) and P at (0.000, 0.000, 0.500).

As for the raw formation energy: 0.94 eV per atom. The density comes out at 4.845 Mg/m³.



# 2
DFT (meta-GGA SCAN) results for a crystal of PaGa3 relaxed with PBEsol.

It has space group Pm-3m (No. 221), with a = 4.236 Å, b = 4.236 Å, c = 4.236 Å, α = 90.00°, β = 90.00° and γ = 90.00°. The asymmetric unit holds Pa at (0.000, 0.000, 0.000) and Ga at (0.000, 0.500, 0.500).

For the energy of formation, the calculation gives -8.4 kcal/mol of atoms. The density comes out at 9.615 Mg/m³.



# 3
DFT (meta-GGA SCAN) results for a crystal of PaGaTc2 relaxed with PBEsol.

It has space group Fm-3m (No. 225), with a = 6.430 Å, b = 6.430 Å, c = 6.430 Å, α = 90.00°, β = 90.00° and γ = 90.00°. The asymmetric unit holds Pa at (0.000, 0.000, 0.000), Ga at (0.000, 0.000, 0.500) and Tc at (0.250, 0.250, 0.250).

For the energy of formation, the calculation gives -6.5 kcal/mol of atoms. The density comes out at 12.413 Mg/m³.